[1]
Computed, not measured: LaYCd after structural relaxation at the GGA-PBE level of DFT.

## Properties
energy relative to the lowest polymorph listed for this composition = 271 meV per atom
total moment = 0.006 μB per atom
energy = -4.035 eV/atom
DFT formation energy = 0.067 eV/atom

Lattice parameters (Å, degrees): 5.2918 5.2918 5.2918 60.00 60.00 60.00
With the nearest neighbours (Å) after each atom.
Sites, in units of the cell vectors:
La: 0.0000 0.0000 0.0000  4 Cd 3.24
Y: 0.5000 0.5000 0.5000  4 Cd 3.24
Cd: 0.7500 0.7500 0.7500  4 La 3.24, 4 Y 3.24

***

[2]
Computed, not measured: Ce3In after structural relaxation at the GGA-PBE level of DFT.

## Properties
energy relative to the lowest polymorph listed for this composition = 73 meV per atom
total moment = 0.437 μB per atom
energy = -5.255 eV/atom
DFT formation energy = -0.120 eV/atom

Lattice parameters (Å, degrees): 6.2486 6.2486 5.9154 100.51 100.51 89.22
With the nearest neighbours (Å) after each atom.
Sites, in units of the cell vectors:
Ce: 0.0206 0.0206 0.2274  1 Ce 2.62
Ce: 0.1556 0.5411 0.1981  1 Ce 2.73
Ce: 0.4589 0.8444 0.8019  1 Ce 2.73
Ce: 0.5411 0.1556 0.1981  1 Ce 2.73
Ce: 0.8444 0.4589 0.8019  1 Ce 2.73
Ce: 0.9794 0.9794 0.7726  1 Ce 2.62
In: 0.3286 0.3286 0.6896  10 Ce 3.25-3.42
In: 0.6714 0.6714 0.3104  10 Ce 3.25-3.42

***

[3]
Computed, not measured: Mn2RuPt after structural relaxation at the GGA-PBE level of DFT.

## Properties
total moment = 1.703 μB per atom
energy = -8.401 eV/atom
DFT formation energy = 0.013 eV/atom

Lattice parameters (Å, degrees): 8.6514 8.6514 8.6514 18.51 18.51 18.51
With the nearest neighbours (Å) after each atom.
Sites, in units of the cell vectors:
Mn: 0.2475 0.2475 0.2475  3 Ru 2.61, 3 Pt 2.72, 6 Mn 2.78
Mn: 0.7525 0.7525 0.7525  3 Ru 2.61, 3 Pt 2.72, 6 Mn 2.78
Ru: 0.5000 0.5000 0.5000  6 Mn 2.61, 6 Ru 2.78
Pt: 0.0000 0.0000 0.0000  6 Mn 2.72, 6 Pt 2.78

***

[4]
Computed, not measured: Ta2V2Cd after structural relaxation at the GGA-PBE level of DFT.

## Properties
total moment = 0.000 μB per atom
energy = -8.259 eV/atom
DFT formation energy = 0.312 eV/atom

Lattice parameters (Å, degrees): 7.1186 7.1186 3.3834 90.00 90.00 90.00
With the nearest neighbours (Å) after each atom.
Sites, in units of the cell vectors:
Ta: 0.1769 0.3231 0.0000  6 V 2.68-2.72
Ta: 0.3231 0.8231 0.0000  6 V 2.68-2.72
Ta: 0.6769 0.1769 0.0000  6 V 2.68-2.72
Ta: 0.8231 0.6769 0.0000  6 V 2.68-2.72
V: 0.1167 0.6167 0.5000  1 V 2.35
V: 0.3833 0.1167 0.5000  1 V 2.35
V: 0.6167 0.8833 0.5000  1 V 2.35
V: 0.8833 0.3833 0.5000  1 V 2.35
Cd: 0.0000 0.0000 0.5000  4 V 2.85, 8 Ta 3.12
Cd: 0.5000 0.5000 0.5000  4 V 2.85, 8 Ta 3.12

***

[5]
Computed, not measured: Sm7Ag2Ir2 after structural relaxation at the GGA-PBE level of DFT.

## Properties
total moment = 0.000 μB per atom
energy = -5.452 eV/atom
DFT formation energy = -0.319 eV/atom

Lattice parameters (Å, degrees): 6.8626 6.8626 7.2262 90.00 90.00 107.11
With the nearest neighbours (Å) after each atom.
Sites, in units of the cell vectors:
Sm: 0.0000 0.0000 0.0000  2 Ir 3.18
Sm: 0.0000 0.5000 0.2542  2 Ir 2.78
Sm: 0.0000 0.5000 0.7458  2 Ir 2.78
Sm: 0.5000 0.0000 0.2542  2 Ir 2.78
Sm: 0.5000 0.0000 0.7458  2 Ir 2.78
Sm: 0.5000 0.5000 0.2470  2 Ir 2.94, 2 Ag 3.20
Sm: 0.5000 0.5000 0.7530  2 Ir 2.94, 2 Ag 3.20
Ag: 0.1772 0.1772 0.5000  1 Ag 2.89, 2 Sm 3.20
Ag: 0.8228 0.8228 0.5000  1 Ag 2.89, 2 Sm 3.20
Ir: 0.2882 0.7118 0.0000  6 Sm 2.78-2.94
Ir: 0.7118 0.2882 0.0000  6 Sm 2.78-2.94

***

[6]
Computed, not measured: PuNpPaN3 after structural relaxation at the GGA-PBE level of DFT.

## Properties
ΔE_f (raw) = -6.89 eV/f.u.
total moment = 0.703 μB per atom
energy = -11.439 eV/atom

Lattice parameters (Å, degrees): 7.0709 3.3571 7.1758 90.00 99.38 90.00
With the nearest neighbours (Å) after each atom.
Sites, in units of the cell vectors:
Pu: 0.1284 0.2500 0.3879  3 N 2.28-2.36
Pu: 0.8716 0.7500 0.6121  3 N 2.28-2.36
Np: 0.4969 0.2500 0.3744  3 N 2.24-2.29, 2 Np 2.46
Np: 0.5031 0.7500 0.6256  3 N 2.24-2.29, 2 Np 2.46
Pa: 0.2350 0.2500 0.9500  2 N 2.26-2.30
Pa: 0.7650 0.7500 0.0500  2 N 2.26-2.30
N: 0.0846 0.7500 0.1531  1 Pa 2.26, 2 Pu 2.36
N: 0.1982 0.7500 0.6727  1 Np 2.24, 1 Pu 2.28
N: 0.4744 0.7500 0.1551  2 Np 2.29, 1 Pa 2.30
N: 0.5256 0.2500 0.8449  2 Np 2.29, 1 Pa 2.30
N: 0.8018 0.2500 0.3273  1 Np 2.24, 1 Pu 2.28
N: 0.9154 0.2500 0.8469  1 Pa 2.26, 2 Pu 2.36

***

[7]
Computed, not measured: RbMn3Tl after structural relaxation at the GGA-PBE level of DFT.

## Properties
energy relative to the lowest polymorph listed for this composition = 971 meV per atom
total moment = 2.662 μB per atom
energy = -4.084 eV/atom
DFT formation energy = 2.085 eV/atom

Lattice parameters (Å, degrees): 5.7188 5.7188 5.7188 90.00 90.00 90.00
With the nearest neighbours (Å) after each atom.
Sites, in units of the cell vectors:
Rb: 0.0000 0.0000 0.0000  6 Mn 2.86
Mn: 0.0000 0.0000 0.5000  2 Rb 2.86
Mn: 0.0000 0.5000 0.0000  2 Rb 2.86
Mn: 0.5000 0.0000 0.0000  2 Rb 2.86
Tl: 0.5000 0.5000 0.5000  12 Mn 4.04

***

[8]
Computed, not measured: Rb2I6BrO after structural relaxation at the GGA-PBE level of DFT.

## Properties
ΔE_f (raw) = -3.72 eV/f.u.
total moment = 0.000 μB per atom
energy = -2.159 eV/atom

Lattice parameters (Å, degrees): 8.2561 8.2561 8.2561 122.46 122.46 85.80
With the nearest neighbours (Å) after each atom.
Sites, in units of the cell vectors:
Rb: 0.2500 0.7500 0.5000  12 I 4.00-4.13
Rb: 0.7500 0.2500 0.5000  12 I 4.00-4.13
I: 0.2097 0.2097 0.0000  1 O 2.54
I: 0.2400 0.2400 0.4801  1 O 2.70, 1 Br 2.92
I: 0.2400 0.7600 0.0000  1 O 2.70, 1 Br 2.92
I: 0.7600 0.2400 0.0000  1 O 2.70, 1 Br 2.92
I: 0.7600 0.7600 0.5199  1 O 2.70, 1 Br 2.92
I: 0.7903 0.7903 0.0000  1 O 2.54
Br: 0.5000 0.5000 0.0000  4 I 2.92
O: 0.0000 0.0000 0.0000  6 I 2.54-2.70

***

- The highest energy belongs to which entry?
  Rb2I6BrO

***

- Which of these has the highest total moment?
  RbMn3Tl

***

- What is the total moment in the seventh record?
  2.662 μB per atom

***

- What is the formula in the first record?
  LaYCd